Entry 1:
## SmCo4B4 (PBEsol)

Data for SmCo4B4 after structural relaxation.

a b c (Å): 6.926 6.926 3.768
angles (deg): 90.00 90.00 90.00
Fractional coordinates of all 18 atoms:
1 Sm 0.250 0.250 0.250
2 Sm 0.750 0.750 0.750
3 Co 0.109 0.633 0.144
4 Co 0.133 0.891 0.644
5 Co 0.367 0.609 0.644
6 Co 0.391 0.867 0.144
7 Co 0.609 0.133 0.856
8 Co 0.633 0.391 0.356
9 Co 0.867 0.109 0.356
10 Co 0.891 0.367 0.856
11 B 0.049 0.912 0.147
12 B 0.088 0.549 0.647
13 B 0.412 0.951 0.647
14 B 0.451 0.588 0.147
15 B 0.549 0.412 0.853
16 B 0.588 0.049 0.353
17 B 0.912 0.451 0.353
18 B 0.951 0.088 0.853

* energy: -7.68 eV per atom
* calculated formation energy: -554 meV/atom
* spin magnetization: 0.0 μB/f.u.
* DOS(E_F): 0.455 states/eV per atom

***

Entry 2:
## SmCo2B2 (PBEsol)

Data for SmCo2B2 after structural relaxation.

a b c (Å): 5.401 5.401 5.401
angles (deg): 141.85 141.85 55.05
Fractional coordinates of all 5 atoms:
1 Sm 0.000 0.000 0.000
2 Co 0.250 0.750 0.500
3 Co 0.750 0.250 0.500
4 B 0.343 0.343 0.000
5 B 0.657 0.657 0.000

* energy: -7.50 eV per atom
* calculated formation energy: -579 meV/atom
* spin magnetization: 0.0 μB/f.u.
* DOS(E_F): 0.387 states/eV per atom

***

Entry 3:
## SmCo3B2 (PBEsol)

Data for SmCo3B2 after structural relaxation.

a b c (Å): 4.994 4.994 2.982
angles (deg): 90.00 90.00 120.00
Fractional coordinates of all 6 atoms:
1 Sm 0.000 0.000 0.000
2 Co 0.000 0.500 0.500
3 Co 0.500 0.000 0.500
4 Co 0.500 0.500 0.500
5 B 0.333 0.667 0.000
6 B 0.667 0.333 0.000

* energy: -7.56 eV per atom
* calculated formation energy: -499 meV/atom
* spin magnetization: 0.0 μB/f.u.
* DOS(E_F): 0.602 states/eV per atom

***

Entry 4:
## SmCo4B (PBEsol)

Data for SmCo4B after structural relaxation.

a b c (Å): 4.976 4.976 6.744
angles (deg): 90.00 90.00 120.00
Fractional coordinates of all 12 atoms:
1 Sm 0.000 0.000 0.000
2 Sm 0.000 0.000 0.500
3 Co 0.000 0.500 0.213
4 Co 0.000 0.500 0.787
5 Co 0.333 0.667 0.500
6 Co 0.500 0.000 0.213
7 Co 0.500 0.000 0.787
8 Co 0.500 0.500 0.213
9 Co 0.500 0.500 0.787
10 Co 0.667 0.333 0.500
11 B 0.333 0.667 0.000
12 B 0.667 0.333 0.000

* energy: -7.45 eV per atom
* calculated formation energy: -279 meV/atom
* spin magnetization: 3.4 μB/f.u.
* DOS(E_F): 1.229 states/eV per atom